Crystalline Cr2HgRh2 at its relaxed geometry. Source: the Alexandria database, functional PBE.

Lattice parameters (Å, degrees): 7.3565 7.3565 2.7436 90.00 90.00 90.00
Space group P4/mbm (No. 127)
One atom of each set of equivalent atoms:
Cr  0.1090  0.3910  0.0000 (multiplicity 4)
Hg  0.0000  0.0000  0.0000 (multiplicity 2)
Rh  0.1730  0.6730  0.5000 (multiplicity 4)

E above lowest polymorph = 0.000 eV per formula unit


Crystalline CsSe2BrF at its relaxed geometry. Source: the Alexandria database, functional PBE.

Lattice parameters (Å, degrees): 4.6624 4.6624 7.2427 90.00 90.00 90.00
Space group P4/mmm (No. 123)
One atom of each set of equivalent atoms:
Cs  0.0000  0.0000  0.0000 (multiplicity 1)
Se  0.0000  0.5000  0.5000 (multiplicity 2)
Br  0.5000  0.5000  0.0000 (multiplicity 1)
F  0.5000  0.5000  0.5000 (multiplicity 1)

E above lowest polymorph = 0.000 eV per formula unit
formation energy from raw total energies = -0.371 eV per atom


Crystalline Mn2Tl2VSe4 at its relaxed geometry. Source: the Alexandria database, functional PBE.

Lattice parameters (Å, degrees): 14.3575 4.0071 7.8122 90.00 106.44 90.00
Space group C2/m (No. 12)
One atom of each set of equivalent atoms:
Mn  0.1647  0.0000  0.4724 (multiplicity 4)
Tl  0.1311  0.5000  0.0687 (multiplicity 4)
V  0.0000  0.5000  0.5000 (multiplicity 2)
Se  0.0029  0.0000  0.2723 (multiplicity 4)
Se  0.1908  0.5000  0.6761 (multiplicity 4)

formation energy from raw total energies = -0.447 eV per atom


Crystalline HoAgGe2Te4 at its relaxed geometry. Source: the Alexandria database, functional PBE.

Lattice parameters (Å, degrees): 7.3942 4.2978 7.5576 90.00 109.84 90.00
Space group P2/m (No. 10)
One atom of each set of equivalent atoms:
Ho  0.0000  0.0000  0.0000 (multiplicity 1)
Ag  0.5000  0.5000  0.0000 (multiplicity 1)
Ge  0.0000  0.5000  0.5000 (multiplicity 1)
Ge  0.5000  0.0000  0.5000 (multiplicity 1)
Te  0.2491  0.5000  0.2606 (multiplicity 2)
Te  0.2504  0.0000  0.7476 (multiplicity 2)

formation energy from raw total energies = -0.419 eV per atom


M_tot readings, ordered: 0.00, 1.04, 6.83, 0.00 μB per formula unit